The following is a DFT calculation (PBE) of a geometry-optimized PmPr3Pu2S6 structure.

The formation energy from raw total energies comes out at -1.953 eV per atom. For the density of states at the Fermi level, the calculation gives 1.47 states/eV per atom.

The space group is C2/m (No. 12) and the conventional cell measures 6.991, 12.107 and 7.030 Å, with angles of 90.00, 109.33 and 90.00 degrees. The distinct sites, in fractional coordinates, are Pm at (0.000, 0.000, 0.000), Pr at (0.000, 0.165, 0.500), Pr at (0.000, 0.500, 0.500), Pu at (0.000, 0.333, 0.000), S at (0.241, 0.500, 0.239) and S at (0.249, 0.169, 0.239).

***

The following is a DFT calculation (PBE) of a geometry-optimized PmPr4Pu3S8 structure.

The formation energy from raw total energies comes out at -1.942 eV per atom. For the density of states at the Fermi level, the calculation gives 1.63 states/eV per atom.

The space group is R-3m (No. 166, hexagonal axes) and the conventional cell measures 8.0617, 8.0617 and 19.8989 Å, with angles of 90.00, 90.00 and 120.00 degrees. The distinct sites, in fractional coordinates, are Pm at (0.0000, 0.0000, 0.0000), Pr at (0.0000, 0.0000, 0.5000), Pr at (0.0000, 0.5000, 0.5000), Pu at (0.0000, 0.5000, 0.0000), S at (0.0000, 0.0000, 0.2547) and S at (0.0034, 0.5017, 0.2536).

***

The following is a DFT calculation (PBE) of a geometry-optimized Pm4PrPu3S8 structure.

The formation energy from raw total energies comes out at -1.947 eV per atom. For the density of states at the Fermi level, the calculation gives 1.60 states/eV per atom.

The space group is R-3m (No. 166, hexagonal axes) and the conventional cell measures 8.0159, 8.0159 and 19.7308 Å, with angles of 90.00, 90.00 and 120.00 degrees. The distinct sites, in fractional coordinates, are Pm at (0.0000, 0.0000, 0.0000), Pm at (0.0000, 0.5000, 0.0000), Pr at (0.0000, 0.0000, 0.5000), Pu at (0.0000, 0.5000, 0.5000), S at (0.0000, 0.0000, 0.2473) and S at (0.0059, 0.5029, 0.7510).

***

The following is a DFT calculation (PBE) of a geometry-optimized Pm3PrPu2S6 structure.

The formation energy from raw total energies comes out at -1.958 eV per atom. For the density of states at the Fermi level, the calculation gives 1.43 states/eV per atom.

The space group is C2/m (No. 12) and the conventional cell measures 6.956, 12.048 and 6.977 Å, with angles of 90.00, 109.38 and 90.00 degrees. The distinct sites, in fractional coordinates, are Pm at (0.000, 0.000, 0.000), Pm at (0.000, 0.336, 0.000), Pr at (0.000, 0.500, 0.500), Pu at (0.000, 0.167, 0.500), S at (0.241, 0.000, 0.746) and S at (0.247, 0.171, 0.252).

***

The following is a DFT calculation (PBE) of a geometry-optimized Pm2Pr3PuS6 structure.

The formation energy from raw total energies comes out at -1.997 eV per atom. For the density of states at the Fermi level, the calculation gives 0.75 states/eV per atom.

The space group is C2/m (No. 12) and the conventional cell measures 17.697, 4.036 and 8.154 Å, with angles of 90.00, 103.44 and 90.00 degrees. The distinct sites, in fractional coordinates, are Pm at (0.165, 0.000, 0.330), Pr at (0.000, 0.500, 0.500), Pr at (0.167, 0.000, 0.835), Pu at (0.000, 0.500, 0.000), S at (0.001, 0.000, 0.241), S at (0.164, 0.500, 0.086) and S at (0.169, 0.500, 0.580).

***

The following is a DFT calculation (PBE) of a geometry-optimized Pm2PrPuS4 structure.

The formation energy from raw total energies comes out at -1.975 eV per atom. For the density of states at the Fermi level, the calculation gives 1.12 states/eV per atom.

The space group is P2/m (No. 10) and the conventional cell measures 6.991, 4.021 and 7.002 Å, with angles of 90.00, 109.26 and 90.00 degrees. The distinct sites, in fractional coordinates, are Pm at (0.000, 0.000, 0.000), Pm at (0.000, 0.500, 0.500), Pr at (0.500, 0.000, 0.500), Pu at (0.500, 0.500, 0.000), S at (0.248, 0.500, 0.244) and S at (0.253, 0.000, 0.757).

***

Among the records above, which one has the highest formation energy from raw total energies?
PmPr4Pu3S8

***

The highest formation energy from raw total energies belongs to which entry?
PmPr4Pu3S8

***

Among the records above, which one has the highest formation energy from raw total energies?
PmPr4Pu3S8